1.
{
  "formula": "Ba12Sr3F5",
  "functional": "PBE",
  "state": "optimized geometry",
  "lattice": [[-9.675, 9.675, 9.675], [9.675, -9.675, 9.675], [9.675, 9.675, -9.675]],
  "species": ["Ba", "Ba", "Ba", "Ba", "Ba", "Ba", "Ba", "Ba", "Ba", "Ba", "Ba", "Ba", "Ba", "Ba", "Ba", "Ba", "Ba", "Ba", "Ba", "Ba", "Ba", "Ba", "Ba", "Ba", "Ba", "Ba", "Ba", "Ba", "Ba", "Ba", "Ba", "Ba", "Ba", "Ba", "Ba", "Ba", "Ba", "Ba", "Ba", "Ba", "Ba", "Ba", "Ba", "Ba", "Ba", "Ba", "Ba", "Ba", "Sr", "Sr", "Sr", "Sr", "Sr", "Sr", "Sr", "Sr", "Sr", "Sr", "Sr", "Sr", "F", "F", "F", "F", "F", "F", "F", "F", "F", "F", "F", "F", "F", "F", "F", "F", "F", "F", "F", "F"],
  "frac_coords": [[0.002, 0.692, 0.101], [0.002, 0.810, 0.901], [0.091, 0.690, 0.692], [0.091, 0.901, 0.399], [0.099, 0.601, 0.909], [0.099, 0.998, 0.190], [0.101, 0.002, 0.692], [0.101, 0.599, 0.409], [0.190, 0.099, 0.998], [0.190, 0.591, 0.192], [0.192, 0.190, 0.591], [0.192, 0.502, 0.601], [0.308, 0.899, 0.998], [0.308, 0.909, 0.310], [0.310, 0.308, 0.909], [0.310, 0.502, 0.401], [0.399, 0.091, 0.901], [0.399, 0.808, 0.498], [0.401, 0.310, 0.502], [0.401, 0.591, 0.899], [0.409, 0.101, 0.599], [0.409, 0.808, 0.810], [0.498, 0.399, 0.808], [0.498, 0.599, 0.690], [0.502, 0.401, 0.310], [0.502, 0.601, 0.192], [0.591, 0.192, 0.190], [0.591, 0.899, 0.401], [0.599, 0.409, 0.101], [0.599, 0.690, 0.498], [0.601, 0.192, 0.502], [0.601, 0.909, 0.099], [0.690, 0.498, 0.599], [0.690, 0.692, 0.091], [0.692, 0.091, 0.690], [0.692, 0.101, 0.002], [0.808, 0.498, 0.399], [0.808, 0.810, 0.409], [0.810, 0.409, 0.808], [0.810, 0.901, 0.002], [0.899, 0.401, 0.591], [0.899, 0.998, 0.308], [0.901, 0.002, 0.810], [0.901, 0.399, 0.091], [0.909, 0.099, 0.601], [0.909, 0.310, 0.308], [0.998, 0.190, 0.099], [0.998, 0.308, 0.899], [0.125, 0.250, 0.375], [0.125, 0.375, 0.750], [0.250, 0.375, 0.125], [0.250, 0.875, 0.625], [0.375, 0.125, 0.250], [0.375, 0.750, 0.125], [0.625, 0.250, 0.875], [0.625, 0.875, 0.750], [0.750, 0.125, 0.375], [0.750, 0.625, 0.875], [0.875, 0.625, 0.250], [0.875, 0.750, 0.625], [0.000, 0.000, 0.000], [0.000, 0.000, 0.500], [0.000, 0.500, 0.000], [0.000, 0.500, 0.500], [0.125, 0.750, 0.875], [0.125, 0.875, 0.250], [0.250, 0.125, 0.875], [0.250, 0.625, 0.375], [0.375, 0.250, 0.625], [0.375, 0.625, 0.750], [0.500, 0.000, 0.000], [0.500, 0.000, 0.500], [0.500, 0.500, 0.000], [0.500, 0.500, 0.500], [0.625, 0.375, 0.250], [0.625, 0.750, 0.375], [0.750, 0.375, 0.625], [0.750, 0.875, 0.125], [0.875, 0.125, 0.750], [0.875, 0.250, 0.125]],
  "n_ef_per_ev_atom": 1.340,
  "e_tot_ev_per_fu": -62.4,
  "crystal_system": "cubic",
  "magnetic_moment_mub_per_cell": 0.0,
  "space_group": "Ia-3d, No. 230",
  "formation_energy_uncorrected_ev_per_atom": -1.248
}

2.
{
  "formula": "La2NiAu2",
  "functional": "PBE",
  "state": "optimized geometry",
  "lattice": [[4.058, 0.000, 0.000], [2.000, 5.656, 0.000], [2.016, 0.519, 10.721]],
  "species": ["La", "La", "La", "La", "Ni", "Ni", "Au", "Au", "Au", "Au"],
  "frac_coords": [[0.052, 0.252, 0.144], [0.190, 0.733, 0.384], [0.810, 0.267, 0.616], [0.948, 0.748, 0.856], [0.287, 0.120, 0.803], [0.713, 0.880, 0.197], [0.363, 0.690, 0.084], [0.470, 0.178, 0.384], [0.530, 0.822, 0.616], [0.637, 0.310, 0.916]],
  "n_ef_per_ev_atom": 0.581,
  "e_tot_ev_per_fu": -25.6,
  "crystal_system": "triclinic",
  "magnetic_moment_mub_per_cell": 0.0,
  "formation_enthalpy_0k_kcal_per_mol_atoms": -15.75,
  "space_group": "P-1, No. 2"
}

3.
{
  "formula": "Ga3Ni27B14",
  "functional": "PBE",
  "state": "optimized geometry",
  "lattice": [[8.655, 0.000, 0.000], [0.000, 10.756, 0.000], [-0.120, 0.000, 8.834]],
  "species": ["Ga", "Ga", "Ga", "Ga", "Ga", "Ga", "Ni", "Ni", "Ni", "Ni", "Ni", "Ni", "Ni", "Ni", "Ni", "Ni", "Ni", "Ni", "Ni", "Ni", "Ni", "Ni", "Ni", "Ni", "Ni", "Ni", "Ni", "Ni", "Ni", "Ni", "Ni", "Ni", "Ni", "Ni", "Ni", "Ni", "Ni", "Ni", "Ni", "Ni", "Ni", "Ni", "Ni", "Ni", "Ni", "Ni", "Ni", "Ni", "Ni", "Ni", "Ni", "Ni", "Ni", "Ni", "Ni", "Ni", "Ni", "Ni", "Ni", "Ni", "B", "B", "B", "B", "B", "B", "B", "B", "B", "B", "B", "B", "B", "B", "B", "B", "B", "B", "B", "B", "B", "B", "B", "B", "B", "B", "B", "B"],
  "frac_coords": [[0.106, 0.250, 0.247], [0.139, 0.750, 0.164], [0.277, 0.250, 0.670], [0.723, 0.750, 0.330], [0.861, 0.250, 0.836], [0.894, 0.750, 0.753], [0.026, 0.750, 0.428], [0.038, 0.607, 0.963], [0.038, 0.893, 0.963], [0.089, 0.601, 0.648], [0.089, 0.899, 0.648], [0.094, 0.104, 0.776], [0.094, 0.396, 0.776], [0.163, 0.006, 0.215], [0.163, 0.494, 0.215], [0.174, 0.098, 0.483], [0.174, 0.402, 0.483], [0.206, 0.250, 0.978], [0.208, 0.750, 0.826], [0.262, 0.622, 0.417], [0.262, 0.878, 0.417], [0.346, 0.616, 0.017], [0.346, 0.884, 0.017], [0.375, 0.250, 0.370], [0.384, 0.085, 0.850], [0.384, 0.415, 0.850], [0.389, 0.115, 0.129], [0.389, 0.385, 0.129], [0.390, 0.619, 0.686], [0.390, 0.881, 0.686], [0.432, 0.750, 0.240], [0.458, 0.094, 0.571], [0.458, 0.406, 0.571], [0.542, 0.594, 0.429], [0.542, 0.906, 0.429], [0.568, 0.250, 0.760], [0.610, 0.119, 0.314], [0.610, 0.381, 0.314], [0.611, 0.615, 0.871], [0.611, 0.885, 0.871], [0.616, 0.585, 0.150], [0.616, 0.915, 0.150], [0.625, 0.750, 0.630], [0.654, 0.116, 0.983], [0.654, 0.384, 0.983], [0.738, 0.122, 0.583], [0.738, 0.378, 0.583], [0.792, 0.250, 0.174], [0.794, 0.750, 0.022], [0.826, 0.598, 0.517], [0.826, 0.902, 0.517], [0.837, 0.506, 0.785], [0.837, 0.994, 0.785], [0.906, 0.604, 0.224], [0.906, 0.896, 0.224], [0.911, 0.101, 0.352], [0.911, 0.399, 0.352], [0.962, 0.107, 0.037], [0.962, 0.393, 0.037], [0.974, 0.250, 0.572], [0.036, 0.553, 0.418], [0.036, 0.947, 0.418], [0.189, 0.052, 0.990], [0.189, 0.448, 0.990], [0.219, 0.553, 0.830], [0.219, 0.947, 0.830], [0.227, 0.750, 0.588], [0.367, 0.057, 0.361], [0.367, 0.443, 0.361], [0.399, 0.561, 0.234], [0.399, 0.939, 0.234], [0.423, 0.750, 0.498], [0.444, 0.750, 0.855], [0.455, 0.250, 0.966], [0.545, 0.750, 0.034], [0.556, 0.250, 0.145], [0.577, 0.250, 0.502], [0.601, 0.061, 0.766], [0.601, 0.439, 0.766], [0.633, 0.557, 0.639], [0.633, 0.943, 0.639], [0.773, 0.250, 0.412], [0.781, 0.053, 0.170], [0.781, 0.447, 0.170], [0.811, 0.552, 0.010], [0.811, 0.948, 0.010], [0.964, 0.053, 0.582], [0.964, 0.447, 0.582]],
  "n_ef_per_ev_atom": 0.465,
  "e_tot_ev_per_fu": -272.7,
  "crystal_system": "monoclinic",
  "magnetic_moment_mub_per_cell": 0.0,
  "formation_enthalpy_0k_kcal_per_mol_atoms": -7.38,
  "space_group": "P2_1/m, No. 11"
}

4.
{
  "formula": "Th4Ge2PS",
  "functional": "PBE",
  "state": "optimized geometry",
  "lattice": [[7.227, 0.000, 0.000], [0.000, 4.225, 0.000], [-2.464, 0.000, 6.896]],
  "species": ["Th", "Th", "Th", "Th", "Ge", "Ge", "P", "S"],
  "frac_coords": [[0.243, 0.000, 0.245], [0.244, 0.500, 0.751], [0.756, 0.500, 0.249], [0.757, 0.000, 0.755], [0.500, 0.000, 0.000], [0.500, 0.500, 0.500], [0.000, 0.500, 0.000], [0.000, 0.000, 0.500]],
  "n_ef_per_ev_atom": 0.551,
  "e_tot_ev_per_fu": -58.4,
  "crystal_system": "monoclinic",
  "magnetic_moment_mub_per_cell": 0.0,
  "space_group": "P2/m, No. 10",
  "formation_energy_uncorrected_ev_per_atom": -1.241
}

5.
{
  "formula": "Al5Mo",
  "functional": "PBE",
  "state": "optimized geometry",
  "lattice": [[4.498, 0.000, 0.000], [0.000, 1.446, 7.307], [0.000, -1.446, 7.307]],
  "species": ["Al", "Al", "Al", "Al", "Al", "Mo"],
  "frac_coords": [[0.000, 0.000, 0.000], [0.000, 0.320, 0.320], [0.500, 0.107, 0.107], [0.500, 0.434, 0.434], [0.500, 0.767, 0.767], [0.000, 0.662, 0.662]],
  "n_ef_per_ev_atom": 0.478,
  "e_tot_ev_per_fu": -30.1,
  "crystal_system": "orthorhombic",
  "magnetic_moment_mub_per_cell": 0.0,
  "formation_enthalpy_0k_kcal_per_mol_atoms": -2.02,
  "space_group": "Amm2, No. 38",
  "de_polymorph_kj_per_mol_fu": 94
}

6.
{
  "formula": "TaCu2W",
  "functional": "PBE",
  "state": "optimized geometry",
  "lattice": [[-1.891, 1.891, 4.126], [1.891, -1.891, 4.126], [1.891, 1.891, -4.126]],
  "species": ["Ta", "Cu", "Cu", "W"],
  "frac_coords": [[0.000, 0.000, 0.000], [0.500, 0.500, 0.000], [0.750, 0.250, 0.500], [0.250, 0.750, 0.500]],
  "n_ef_per_ev_atom": 1.279,
  "e_tot_ev_per_fu": -31.7,
  "crystal_system": "tetragonal",
  "magnetic_moment_mub_per_cell": 0.0,
  "formation_enthalpy_0k_kcal_per_mol_atoms": 7.52,
  "space_group": "I-4m2, No. 119",
  "de_polymorph_kj_per_mol_fu": 72
}

7.
{
  "formula": "B2PC",
  "functional": "PBE",
  "state": "optimized geometry",
  "lattice": [[2.774, 0.000, 0.000], [0.000, 2.921, 0.000], [0.000, 0.000, 4.434]],
  "species": ["B", "B", "P", "C"],
  "frac_coords": [[0.000, 0.000, 0.000], [0.500, 0.000, 0.276], [0.500, 0.500, 0.549], [0.000, 0.500, 0.808]],
  "n_ef_per_ev_atom": 0.116,
  "e_tot_ev_per_fu": -27.4,
  "crystal_system": "orthorhombic",
  "magnetic_moment_mub_per_cell": 0.0,
  "formation_enthalpy_0k_kcal_per_mol_atoms": 3.55,
  "space_group": "Pmm2, No. 25",
  "de_polymorph_kj_per_mol_fu": 30
}

8.
{
  "formula": "Dy2YSb2",
  "functional": "PBE",
  "state": "optimized geometry",
  "lattice": [[3.638, -3.041, 0.000], [3.638, 3.041, 0.000], [-2.004, 0.000, 6.854]],
  "species": ["Dy", "Dy", "Y", "Sb", "Sb"],
  "frac_coords": [[0.249, 0.751, 0.000], [0.751, 0.249, 0.000], [0.500, 0.500, 0.500], [0.172, 0.172, 0.707], [0.828, 0.828, 0.293]],
  "n_ef_per_ev_atom": 0.732,
  "e_tot_ev_per_fu": -26.9,
  "crystal_system": "monoclinic",
  "magnetic_moment_mub_per_cell": 0.0,
  "space_group": "C2/m, No. 12",
  "formation_energy_uncorrected_ev_per_atom": -0.603
}

9.
{
  "formula": "ZrTl3I",
  "functional": "PBE",
  "state": "optimized geometry",
  "lattice": [[5.873, 0.000, 0.000], [0.000, 5.873, 0.000], [0.000, 0.000, 5.873]],
  "species": ["Zr", "Tl", "Tl", "Tl", "I"],
  "frac_coords": [[0.000, 0.000, 0.000], [0.000, 0.000, 0.500], [0.000, 0.500, 0.000], [0.500, 0.000, 0.000], [0.500, 0.500, 0.500]],
  "n_ef_per_ev_atom": 0.981,
  "e_tot_ev_per_fu": -15.3,
  "crystal_system": "cubic",
  "magnetic_moment_mub_per_cell": 3.7,
  "space_group": "Pm-3m, No. 221",
  "formation_energy_uncorrected_ev_per_atom": 0.376,
  "de_polymorph_kj_per_mol_fu": 0
}